A plane-wave DFT calculation with GGA-PBE was carried out for a geometry-optimized YMnFe2 structure.

a = 3.9602 Å, b = 3.9602 Å, c = 5.4318 Å
α = 68.66°, β = 68.66°, γ = 60.02°
Last column: nearest neighbours and their distance in Å.
Sites, in units of the cell vectors:
Fe 0.0556 0.0556 0.8335  3 Mn 2.32, 3 Fe 2.43
Fe 0.4444 0.4444 0.6665  3 Mn 2.32, 3 Fe 2.43
Mn 0.7500 0.7500 0.7500  6 Fe 2.32
Y 0.2500 0.2500 0.2500  8 Fe 2.88-3.07

Output
Calculated volume, Å³/atom: 16.7
Relative energy among the computed polymorphs, meV/atom: 0
Calculated formation energy, eV/atom: 0.122
Electronic total energy, eV per atom: -8.02
Total magnetization, μB per cell: 1.33

A plane-wave DFT calculation with GGA-PBE was carried out for a geometry-optimized Er12Cu6Pt structure.

a = 8.3201 Å, b = 8.3201 Å, c = 8.3201 Å
α = 109.47°, β = 109.47°, γ = 109.47°
Last column: nearest neighbours and their distance in Å.
Sites, in units of the cell vectors:
Er 0.2888 0.1030 0.8141  3 Cu 2.71-2.97
Er 0.2888 0.4747 0.1859  3 Cu 2.71-2.97
Er 0.7112 0.5253 0.8141  3 Cu 2.71-2.97
Er 0.7112 0.8970 0.1859  3 Cu 2.71-2.97
Er 0.1030 0.8141 0.2888  3 Cu 2.71-2.97
Er 0.4747 0.1859 0.2888  3 Cu 2.71-2.97
Er 0.5253 0.8141 0.7112  3 Cu 2.71-2.97
Er 0.8970 0.1859 0.7112  3 Cu 2.71-2.97
Er 0.8141 0.2888 0.1030  3 Cu 2.71-2.97
Er 0.1859 0.2888 0.4747  3 Cu 2.71-2.97
Er 0.8141 0.7112 0.5253  3 Cu 2.71-2.97
Er 0.1859 0.7112 0.8970  3 Cu 2.71-2.97
Cu 0.3727 0.5000 0.8727  1 Cu 2.45, 2 Er 2.71
Cu 0.6273 0.5000 0.1273  1 Cu 2.45, 2 Er 2.71
Cu 0.5000 0.8727 0.3727  1 Cu 2.45, 2 Er 2.71
Cu 0.5000 0.1273 0.6273  1 Cu 2.45, 2 Er 2.71
Cu 0.8727 0.3727 0.5000  1 Cu 2.45, 2 Er 2.71
Cu 0.1273 0.6273 0.5000  1 Cu 2.45, 2 Er 2.71
Pt 0.0000 0.0000 0.0000  12 Er 3.30

Output
Calculated volume, Å³/atom: 23.3
Calculated formation energy, eV/atom: -0.268
Electronic total energy, eV per atom: -4.76
Total magnetization, μB per cell: 0.00

A plane-wave DFT calculation with GGA-PBE was carried out for a geometry-optimized Ac5PmTe8 structure.

a = 8.5791 Å, b = 8.5791 Å, c = 8.5791 Å
α = 109.46°, β = 109.50°, γ = 109.46°
Last column: nearest neighbours and their distance in Å.
Sites, in units of the cell vectors:
Ac 0.0018 0.3777 0.1247  8 Te 3.33-3.60
Ac 0.8753 0.8771 0.2531  8 Te 3.33-3.60
Ac 0.7469 0.6223 0.6240  8 Te 3.33-3.60
Ac 0.5000 0.0000 0.5000  8 Te 3.37-3.52
Ac 0.3760 0.1229 0.9982  8 Te 3.33-3.60
Pm 0.2500 0.5000 0.7500  8 Te 3.29-3.46
Te 0.1292 0.7470 0.0222  1 Pm 3.29, 5 Ac 3.33-3.60
Te 0.9778 0.1069 0.7247  1 Pm 3.29, 5 Ac 3.33-3.60
Te 0.7837 0.2527 0.3788  5 Ac 3.35-3.51, 1 Pm 3.46, 2 Te 3.70-3.71
Te 0.6212 0.4049 0.8740  5 Ac 3.35-3.51, 1 Pm 3.46, 2 Te 3.70-3.71
Te 0.4690 0.5951 0.2163  5 Ac 3.35-3.51, 1 Pm 3.46, 2 Te 3.70-3.71
Te 0.6178 0.8931 0.8708  1 Pm 3.29, 5 Ac 3.33-3.60
Te 0.2753 0.2530 0.3822  1 Pm 3.29, 5 Ac 3.33-3.60
Te 0.1260 0.7473 0.5310  5 Ac 3.35-3.51, 1 Pm 3.46, 2 Te 3.70-3.71

Output
Calculated volume, Å³/atom: 34.7
Raw formation energy, eV/atom: -1.542
Electronic total energy, eV per atom: -5.14
Total magnetization, μB per cell: 0.00